This record from Alexandria via LeMat-Bulk describes crystalline CrSbMo2 at its relaxed geometry. The functional is PBE.

Geometry as CIF:
```
data_CrSbMo2
_symmetry_space_group_name_H-M 'P 1'
_symmetry_Int_Tables_number 1
_cell_length_a 5.157
_cell_length_b 5.157
_cell_length_c 5.157
_cell_angle_alpha 136.22
_cell_angle_beta 136.22
_cell_angle_gamma 63.64
loop_
_symmetry_equiv_pos_as_xyz
'x,y,z'
loop_
_atom_site_label
_atom_site_type_symbol
_atom_site_fract_x
_atom_site_fract_y
_atom_site_fract_z
_atom_site_occupancy
Cr1 Cr 0.000 0.000 0.000 1
Sb1 Sb 0.500 0.500 0.000 1
Mo1 Mo 0.250 0.750 0.500 1
Mo2 Mo 0.750 0.250 0.500 1
```

Properties
**Space group**: I4/mmm, No. 139
**Formation energy from raw total energies**: 249 meV per atom
**Density of states at the Fermi level**: 0.7400 states/eV per atom